An optimized crystal structure of LiCr2Si, computed with PBE.

As for the uncorrected energy: -6.479 eV per atom. The energy relative to the elements, uncorrected comes out at 0.166 eV/atom. The calculation puts the density of states at the Fermi level at 2.34 states/eV/f.u.

The structure belongs to space group Pmmm (No. 47); the cell edges are 2.436, 3.956 and 4.890 Å and the angles 90.00°, 90.00° and 90.00°. The inequivalent atoms are Li at (0.000, 0.000, 0.000), Cr at (0.500, 0.500, 0.262) and Si at (0.000, 0.000, 0.500).